Entry 1:
# V3Pd2Rh3 PBE optimized geometry
# space group: Immm
# E_tot: -0.57228 Ry/atom
# total magnetization: 0.0 μB per formula unit
# N(E_F): 6.31 states/eV/cell
# crystal system: orthorhombic
# V: 14.050 Å³/atom
# energy above the most stable polymorph in this dataset: 0.000 eV/atom
data_V3Pd2Rh3
_chemical_formula_sum 'V3 Pd2 Rh3'
_cell_length_a 3.729
_cell_length_b 3.862
_cell_length_c 8.253
_cell_angle_alpha 103.53
_cell_angle_beta 103.06
_cell_angle_gamma 90.00
_symmetry_space_group_name_H-M 'P 1'
_symmetry_Int_Tables_number 1
loop_
_symmetry_equiv_pos_as_xyz
'x,y,z'
loop_
_atom_site_label
_atom_site_type_symbol
_atom_site_fract_x
_atom_site_fract_y
_atom_site_fract_z
V1 V 0.121 0.121 0.243
V2 V 0.000 0.500 0.000
V3 V 0.879 0.879 0.757
Pd1 Pd 0.253 0.753 0.505
Pd2 Pd 0.747 0.247 0.495
Rh1 Rh 0.621 0.621 0.242
Rh2 Rh 0.379 0.379 0.758
Rh3 Rh 0.500 0.000 0.000

Entry 2:
# Mn2AgAs PBE optimized geometry
# space group: Imm2
# E_tot: -0.45813 Ry/atom
# total magnetization: 7.4 μB per formula unit
# N(E_F): 2.96 states/eV/cell
# crystal system: orthorhombic
# V: 16.064 Å³/atom
data_Mn2AgAs
_chemical_formula_sum 'Mn2 Ag1 As1'
_cell_length_a 5.198
_cell_length_b 5.198
_cell_length_c 5.198
_cell_angle_alpha 139.53
_cell_angle_beta 134.47
_cell_angle_gamma 62.53
_symmetry_space_group_name_H-M 'P 1'
_symmetry_Int_Tables_number 1
loop_
_symmetry_equiv_pos_as_xyz
'x,y,z'
loop_
_atom_site_label
_atom_site_type_symbol
_atom_site_fract_x
_atom_site_fract_y
_atom_site_fract_z
Mn1 Mn 0.008 0.008 0.000
Mn2 Mn 0.754 0.254 0.500
Ag1 Ag 0.495 0.495 0.000
As1 As 0.242 0.742 0.500

Entry 3:
# LiMg2GaHg4 PBE optimized geometry
# space group: R-3m
# E_tot: -0.09921 Ry/atom
# total magnetization: 0.0 μB per formula unit
# N(E_F): 3.28 states/eV/cell
# crystal system: trigonal
# V: 21.076 Å³/atom
data_LiMg2GaHg4
_chemical_formula_sum 'Li1 Mg2 Ga1 Hg4'
_cell_length_a 4.936
_cell_length_b 4.936
_cell_length_c 8.483
_cell_angle_alpha 73.08
_cell_angle_beta 73.08
_cell_angle_gamma 60.00
_symmetry_space_group_name_H-M 'P 1'
_symmetry_Int_Tables_number 1
loop_
_symmetry_equiv_pos_as_xyz
'x,y,z'
loop_
_atom_site_label
_atom_site_type_symbol
_atom_site_fract_x
_atom_site_fract_y
_atom_site_fract_z
Mg1 Mg 0.748 0.748 0.756
Mg2 Mg 0.252 0.252 0.244
Hg1 Hg 0.379 0.379 0.863
Hg2 Hg 0.621 0.621 0.137
Hg3 Hg 0.871 0.871 0.388
Hg4 Hg 0.129 0.129 0.612
Ga1 Ga 0.000 0.000 0.000
Li1 Li 0.500 0.500 0.500

Entry 4:
# PuZnSnPt PBE optimized geometry
# space group: F-43m
# E_tot: -0.50418 Ry/atom
# total magnetization: 5.3 μB per formula unit
# N(E_F): 10.67 states/eV/cell
# crystal system: cubic
# V: 20.345 Å³/atom
data_PuZnSnPt
_chemical_formula_sum 'Pu1 Zn1 Sn1 Pt1'
_cell_length_a 4.864
_cell_length_b 4.864
_cell_length_c 4.864
_cell_angle_alpha 60.00
_cell_angle_beta 60.00
_cell_angle_gamma 60.00
_symmetry_space_group_name_H-M 'P 1'
_symmetry_Int_Tables_number 1
loop_
_symmetry_equiv_pos_as_xyz
'x,y,z'
loop_
_atom_site_label
_atom_site_type_symbol
_atom_site_fract_x
_atom_site_fract_y
_atom_site_fract_z
Sn1 Sn 0.500 0.500 0.500
Zn1 Zn 0.250 0.250 0.250
Pu1 Pu 0.000 0.000 0.000
Pt1 Pt 0.750 0.750 0.750

Entry 5:
# MgAgPd3Au PBE optimized geometry
# space group: C2/m
# E_tot: -0.30262 Ry/atom
# total magnetization: 0.0 μB per formula unit
# N(E_F): 3.76 states/eV/cell
# crystal system: monoclinic
# V: 17.328 Å³/atom
data_MgAgPd3Au
_chemical_formula_sum 'Mg2 Ag2 Pd6 Au2'
_cell_length_a 4.085
_cell_length_b 8.483
_cell_length_c 6.207
_cell_angle_alpha 94.87
_cell_angle_beta 90.00
_cell_angle_gamma 103.93
_symmetry_space_group_name_H-M 'P 1'
_symmetry_Int_Tables_number 1
loop_
_symmetry_equiv_pos_as_xyz
'x,y,z'
loop_
_atom_site_label
_atom_site_type_symbol
_atom_site_fract_x
_atom_site_fract_y
_atom_site_fract_z
Pd1 Pd 0.230 0.460 0.842
Pd2 Pd 0.460 0.920 0.686
Pd3 Pd 0.770 0.540 0.158
Pd4 Pd 0.843 0.685 0.753
Pd5 Pd 0.540 0.080 0.314
Pd6 Pd 0.157 0.315 0.247
Ag1 Ag 0.388 0.775 0.060
Ag2 Ag 0.612 0.225 0.940
Mg1 Mg 0.313 0.626 0.456
Mg2 Mg 0.687 0.374 0.544
Au1 Au 0.074 0.149 0.630
Au2 Au 0.926 0.851 0.370

Entry 6:
# TcHI2 PBE optimized geometry
# space group: Fm-3m
# E_tot: -0.23989 Ry/atom
# total magnetization: 0.0 μB per formula unit
# N(E_F): 0.46 states/eV/cell
# crystal system: cubic
# V: 18.445 Å³/atom
# energy above the most stable polymorph in this dataset: 0.171 eV/atom
data_TcHI2
_chemical_formula_sum 'Tc1 H1 I2'
_cell_length_a 4.708
_cell_length_b 4.708
_cell_length_c 4.708
_cell_angle_alpha 60.00
_cell_angle_beta 60.00
_cell_angle_gamma 60.00
_symmetry_space_group_name_H-M 'P 1'
_symmetry_Int_Tables_number 1
loop_
_symmetry_equiv_pos_as_xyz
'x,y,z'
loop_
_atom_site_label
_atom_site_type_symbol
_atom_site_fract_x
_atom_site_fract_y
_atom_site_fract_z
H1 H 0.000 0.000 0.000
I1 I 0.250 0.250 0.250
I2 I 0.750 0.750 0.750
Tc1 Tc 0.500 0.500 0.500

Entry 7:
# PmTlOs2O8 PBE optimized geometry
# space group: P-3
# ΔE_f (raw): -1.359 eV per atom
# E_tot: -0.52396 Ry/atom
# total magnetization: 4.0 μB per formula unit
# N(E_F): 2.23 states/eV/cell
# crystal system: trigonal
# V: 21.129 Å³/atom
data_PmTlOs2O8
_chemical_formula_sum 'Pm1 Tl1 Os2 O8'
_cell_length_a 6.106
_cell_length_b 6.106
_cell_length_c 7.853
_cell_angle_alpha 90.00
_cell_angle_beta 90.00
_cell_angle_gamma 120.00
_symmetry_space_group_name_H-M 'P 1'
_symmetry_Int_Tables_number 1
loop_
_symmetry_equiv_pos_as_xyz
'x,y,z'
loop_
_atom_site_label
_atom_site_type_symbol
_atom_site_fract_x
_atom_site_fract_y
_atom_site_fract_z
O1 O 0.175 0.831 0.686
O2 O 0.667 0.333 0.009
O3 O 0.831 0.656 0.314
O4 O 0.169 0.344 0.686
O5 O 0.825 0.169 0.314
O6 O 0.344 0.175 0.314
O7 O 0.333 0.667 0.991
O8 O 0.656 0.825 0.686
Pm1 Pm 0.000 0.000 0.500
Os1 Os 0.333 0.667 0.766
Os2 Os 0.667 0.333 0.234
Tl1 Tl 0.000 0.000 0.000

Entry 8:
# Ce3CoSi6Ni2 PBE optimized geometry
# space group: P-3m1
# ΔE_f (raw): -0.377 eV per atom
# E_tot: -0.45036 Ry/atom
# total magnetization: 1.7 μB per formula unit
# N(E_F): 16.94 states/eV/cell
# crystal system: trigonal
# V: 17.807 Å³/atom
data_Ce3CoSi6Ni2
_chemical_formula_sum 'Ce3 Co1 Si6 Ni2'
_cell_length_a 5.795
_cell_length_b 5.795
_cell_length_c 7.347
_cell_angle_alpha 90.00
_cell_angle_beta 90.00
_cell_angle_gamma 120.00
_symmetry_space_group_name_H-M 'P 1'
_symmetry_Int_Tables_number 1
loop_
_symmetry_equiv_pos_as_xyz
'x,y,z'
loop_
_atom_site_label
_atom_site_type_symbol
_atom_site_fract_x
_atom_site_fract_y
_atom_site_fract_z
Co1 Co 0.000 0.000 0.500
Ce1 Ce 0.333 0.667 0.683
Ce2 Ce 0.000 0.000 0.000
Ce3 Ce 0.667 0.333 0.317
Si1 Si 0.618 0.809 0.318
Si2 Si 0.382 0.191 0.682
Si3 Si 0.191 0.382 0.318
Si4 Si 0.809 0.191 0.682
Si5 Si 0.191 0.809 0.318
Si6 Si 0.809 0.618 0.682
Ni1 Ni 0.667 0.333 0.934
Ni2 Ni 0.333 0.667 0.066

Entry 9:
# Cs2HoMg3F12 PBE optimized geometry
# space group: R-3m
# ΔE_f (raw): -3.319 eV per atom
# E_tot: -0.38083 Ry/atom
# total magnetization: 1.2 μB per formula unit
# N(E_F): 15.84 states/eV/cell
# crystal system: trigonal
# V: 17.306 Å³/atom
data_Cs2HoMg3F12
_chemical_formula_sum 'Cs2 Ho1 Mg3 F12'
_cell_length_a 7.674
_cell_length_b 7.674
_cell_length_c 7.674
_cell_angle_alpha 58.90
_cell_angle_beta 58.90
_cell_angle_gamma 58.90
_symmetry_space_group_name_H-M 'P 1'
_symmetry_Int_Tables_number 1
loop_
_symmetry_equiv_pos_as_xyz
'x,y,z'
loop_
_atom_site_label
_atom_site_type_symbol
_atom_site_fract_x
_atom_site_fract_y
_atom_site_fract_z
F1 F 0.691 0.691 0.072
F2 F 0.928 0.309 0.309
F3 F 0.922 0.342 0.922
F4 F 0.691 0.072 0.691
F5 F 0.922 0.922 0.342
F6 F 0.078 0.078 0.658
F7 F 0.309 0.309 0.928
F8 F 0.309 0.928 0.309
F9 F 0.342 0.922 0.922
F10 F 0.658 0.078 0.078
F11 F 0.078 0.658 0.078
F12 F 0.072 0.691 0.691
Ho1 Ho 0.000 0.000 0.000
Mg1 Mg 0.500 0.000 0.000
Mg2 Mg 0.000 0.000 0.500
Mg3 Mg 0.000 0.500 0.000
Cs1 Cs 0.383 0.383 0.383
Cs2 Cs 0.617 0.617 0.617

Entry 10:
# Li3CdGa2 PBE optimized geometry
# space group: P4/mmm
# E_tot: -0.17524 Ry/atom
# total magnetization: 0.0 μB per formula unit
# N(E_F): 2.08 states/eV/cell
# crystal system: tetragonal
# V: 16.430 Å³/atom
# energy above the most stable polymorph in this dataset: 0.000 eV/atom
data_Li3CdGa2
_chemical_formula_sum 'Li3 Cd1 Ga2'
_cell_length_a 3.211
_cell_length_b 3.211
_cell_length_c 9.559
_cell_angle_alpha 90.00
_cell_angle_beta 90.00
_cell_angle_gamma 90.00
_symmetry_space_group_name_H-M 'P 1'
_symmetry_Int_Tables_number 1
loop_
_symmetry_equiv_pos_as_xyz
'x,y,z'
loop_
_atom_site_label
_atom_site_type_symbol
_atom_site_fract_x
_atom_site_fract_y
_atom_site_fract_z
Li1 Li 0.000 0.000 0.687
Li2 Li 0.000 0.000 0.000
Li3 Li 0.000 0.000 0.313
Ga1 Ga 0.500 0.500 0.153
Ga2 Ga 0.500 0.500 0.847
Cd1 Cd 0.500 0.500 0.500

Entry 11:
# Zr2VPd2 PBE optimized geometry
# space group: P4/mbm
# E_tot: -0.55915 Ry/atom
# total magnetization: 3.2 μB per formula unit
# N(E_F): 15.10 states/eV/cell
# crystal system: tetragonal
# V: 19.045 Å³/atom
# energy above the most stable polymorph in this dataset: 0.000 eV/atom
data_Zr2VPd2
_chemical_formula_sum 'Zr4 V2 Pd4'
_cell_length_a 7.503
_cell_length_b 7.503
_cell_length_c 3.383
_cell_angle_alpha 90.00
_cell_angle_beta 90.00
_cell_angle_gamma 90.00
_symmetry_space_group_name_H-M 'P 1'
_symmetry_Int_Tables_number 1
loop_
_symmetry_equiv_pos_as_xyz
'x,y,z'
loop_
_atom_site_label
_atom_site_type_symbol
_atom_site_fract_x
_atom_site_fract_y
_atom_site_fract_z
Zr1 Zr 0.826 0.326 0.500
Zr2 Zr 0.674 0.826 0.500
Zr3 Zr 0.174 0.674 0.500
Zr4 Zr 0.326 0.174 0.500
V1 V 0.000 0.000 0.000
V2 V 0.500 0.500 0.000
Pd1 Pd 0.871 0.629 0.000
Pd2 Pd 0.129 0.371 0.000
Pd3 Pd 0.629 0.129 0.000
Pd4 Pd 0.371 0.871 0.000

Entry 12:
# BaSiNi3 PBE optimized geometry
# space group: Pm-3m
# ΔE_f (raw): 0.014 eV per atom
# E_tot: -0.36187 Ry/atom
# total magnetization: 0.6 μB per formula unit
# N(E_F): 8.20 states/eV/cell
# crystal system: cubic
# V: 18.536 Å³/atom
# energy above the most stable polymorph in this dataset: 0.000 eV/atom
data_BaSiNi3
_chemical_formula_sum 'Ba1 Si1 Ni3'
_cell_length_a 4.525
_cell_length_b 4.525
_cell_length_c 4.525
_cell_angle_alpha 90.00
_cell_angle_beta 90.00
_cell_angle_gamma 90.00
_symmetry_space_group_name_H-M 'P 1'
_symmetry_Int_Tables_number 1
loop_
_symmetry_equiv_pos_as_xyz
'x,y,z'
loop_
_atom_site_label
_atom_site_type_symbol
_atom_site_fract_x
_atom_site_fract_y
_atom_site_fract_z
Ni1 Ni 0.000 0.500 0.000
Ni2 Ni 0.500 0.000 0.000
Ni3 Ni 0.000 0.000 0.500
Si1 Si 0.000 0.000 0.000
Ba1 Ba 0.500 0.500 0.500

> Among the records above, which one has the highest N(E_F)?

Ce3CoSi6Ni2